The following is a GGA-PBE calculation of crystalline CsK3Na2I6 at its relaxed geometry, from Alexandria via LeMat-Bulk.

## Properties
- E_form (uncorrected): -1.3869 eV/atom
- Total moment: 0.00 μB per cell
- V: 1074.6 Å³ per cell
- Energy: -2.727 eV/atom

Cell lengths 21.8219, 5.0055, 10.1184 Å; angles 90.00, 103.51, 90.00 degrees
With the nearest neighbours (Å) after each atom.
Space group C2/m (No. 12)
Unique sites:
Cs (0.0000, 0.0000, 0.0000)  6 I 3.71
K (0.0000, 0.0000, 0.5000)  6 I 3.43-3.66
K (0.1631, 0.5000, 0.8290)  6 I 3.45-3.72
Na (0.1729, 0.5000, 0.3448)  6 I 3.28-3.49
I (0.0100, 0.5000, 0.2743)  3 K 3.43-3.68, 1 Na 3.46, 2 Cs 3.71
I (0.1724, 0.0000, 0.5716)  3 Na 3.28-3.40, 3 K 3.65-3.66
I (0.1746, 0.0000, 0.1058)  3 K 3.45-3.72, 2 Na 3.49, 1 Cs 3.71